# 1
SbRhAu4 after structural relaxation, computed with PBE.

Cell lengths 5.4976, 5.4976, 5.4976 Å; angles 60.00, 60.00, 60.00 degrees
With the nearest neighbours (Å) after each atom.
Sites, in units of the cell vectors:
Rh (0.7500, 0.7500, 0.7500)  12 Au 3.22, 4 Sb 3.37
Au (0.3754, 0.3754, 0.3754)  6 Au 2.74-2.76
Au (0.3754, 0.8739, 0.3754)  6 Au 2.74-2.76
Au (0.3754, 0.3754, 0.8739)  6 Au 2.74-2.76
Au (0.8739, 0.3754, 0.3754)  6 Au 2.74-2.76
Sb (0.0000, 0.0000, 0.0000)  12 Au 3.22, 4 Rh 3.37

Calculated values
V	19.581	Å³/atom
raw formation energy	28	kJ/mol of atoms
electronic total energy	-3.809	eV/atom
ρ	14.31	g/cm³


# 2
SbRh4Au after structural relaxation, computed with PBE.

Cell lengths 5.2303, 5.2303, 5.2303 Å; angles 60.00, 60.00, 60.00 degrees
With the nearest neighbours (Å) after each atom.
Sites, in units of the cell vectors:
Au (0.0000, 0.0000, 0.0000)  12 Rh 3.07, 4 Sb 3.20
Rh (0.3748, 0.3748, 0.3748)  6 Rh 2.61-2.62
Rh (0.8755, 0.3748, 0.3748)  6 Rh 2.61-2.62
Rh (0.3748, 0.3748, 0.8755)  6 Rh 2.61-2.62
Rh (0.3748, 0.8755, 0.3748)  6 Rh 2.61-2.62
Sb (0.7500, 0.7500, 0.7500)  12 Rh 3.07, 4 Au 3.20

Calculated values
V	16.862	Å³/atom
raw formation energy	24	kJ/mol of atoms
electronic total energy	-5.888	eV/atom
ρ	11.99	g/cm³


# 3
SbRhAu after structural relaxation, computed with PBE.

Cell lengths 4.4630, 4.4630, 3.2940 Å; angles 90.00, 90.00, 120.00 degrees
With the nearest neighbours (Å) after each atom.
Sites, in units of the cell vectors:
Rh (0.6667, 0.3333, 0.4983)  3 Sb 2.58
Au (0.0000, 0.0000, 0.9998)  6 Sb 3.05-3.06, 6 Rh 3.06, 2 Au 3.29
Sb (0.3333, 0.6667, 0.5019)  3 Rh 2.58

Calculated values
V	18.940	Å³/atom
raw formation energy	-3	kJ/mol of atoms
electronic total energy	-4.950	eV/atom
ρ	12.32	g/cm³


# 4
Sm2Sb3Rh4Au after structural relaxation, computed with PBE.

Cell lengths 4.3150, 4.3150, 11.2577 Å; angles 90.00, 90.00, 90.00 degrees
With the nearest neighbours (Å) after each atom.
Sites, in units of the cell vectors:
Rh (0.0000, 0.5000, 0.3557)  3 Sb 2.51-2.70, 2 Au 2.70
Rh (0.5000, 0.5000, 0.0000)  4 Sb 2.62
Au (0.5000, 0.5000, 0.5000)  4 Rh 2.70
Rh (0.0000, 0.0000, 0.0000)  4 Sb 2.62
Sb (0.0000, 0.0000, 0.5000)  4 Rh 2.70
Sm (0.5000, 0.0000, 0.2632)  4 Rh 3.22, 6 Sb 3.39-3.43, 2 Au 3.43
Rh (0.5000, 0.0000, 0.6443)  3 Sb 2.51-2.70, 2 Au 2.70
Sb (0.0000, 0.5000, 0.1328)  5 Rh 2.51-2.62
Sb (0.5000, 0.0000, 0.8672)  5 Rh 2.51-2.62
Sm (0.0000, 0.5000, 0.7368)  4 Rh 3.22, 6 Sb 3.39-3.43, 2 Au 3.43

Calculated values
V	20.961	Å³/atom
raw formation energy	-69	kJ/mol of atoms
electronic total energy	-6.162	eV/atom
ρ	10.10	g/cm³


# 5
SmSbRhAu after structural relaxation, computed with PBE.

Cell lengths 4.9250, 4.9250, 4.9250 Å; angles 60.00, 60.00, 60.00 degrees
With the nearest neighbours (Å) after each atom.
Sites, in units of the cell vectors:
Rh (0.5000, 0.5000, 0.5000)  4 Sb 3.02, 4 Sm 3.02
Sb (0.2500, 0.2500, 0.2500)  4 Rh 3.02, 4 Au 3.02
Sm (0.7500, 0.7500, 0.7500)  4 Rh 3.02, 4 Au 3.02
Au (0.0000, 0.0000, 0.0000)  4 Sm 3.02, 4 Sb 3.02

Calculated values
V	21.117	Å³/atom
raw formation energy	-53	kJ/mol of atoms
electronic total energy	-5.418	eV/atom
ρ	11.24	g/cm³


# 6
Sr2Sb3Rh4Au after structural relaxation, computed with PBE.

Cell lengths 4.5427, 4.5427, 10.7315 Å; angles 90.00, 90.00, 90.00 degrees
With the nearest neighbours (Å) after each atom.
Sites, in units of the cell vectors:
Rh (0.0000, 0.0000, 0.0000)  4 Sb 2.66
Rh (0.5000, 0.0000, 0.6322)  3 Sb 2.57-2.68, 2 Au 2.68
Sr (0.0000, 0.5000, 0.7435)  8 Rh 3.43-3.57, 6 Sb 3.46-3.49, 2 Au 3.46
Sb (0.0000, 0.5000, 0.1284)  5 Rh 2.57-2.66
Rh (0.0000, 0.5000, 0.3678)  3 Sb 2.57-2.68, 2 Au 2.68
Sb (0.0000, 0.0000, 0.5000)  4 Rh 2.68
Rh (0.5000, 0.5000, 0.0000)  4 Sb 2.66
Sr (0.5000, 0.0000, 0.2565)  8 Rh 3.43-3.57, 6 Sb 3.46-3.49, 2 Au 3.46
Sb (0.5000, 0.0000, 0.8716)  5 Rh 2.57-2.66
Au (0.5000, 0.5000, 0.5000)  4 Rh 2.68

Calculated values
V	22.146	Å³/atom
raw formation energy	-61	kJ/mol of atoms
electronic total energy	-5.469	eV/atom
ρ	8.62	g/cm³


Question: Which of these has the lowest raw formation energy?
Answer: Sm2Sb3Rh4Au


What did the second record say?
SbRh4Au after structural relaxation, computed with PBE.

Cell lengths 5.2303, 5.2303, 5.2303 Å; angles 60.00, 60.00, 60.00 degrees
With the nearest neighbours (Å) after each atom.
Sites, in units of the cell vectors:
Au (0.0000, 0.0000, 0.0000)  12 Rh 3.07, 4 Sb 3.20
Rh (0.3748, 0.3748, 0.3748)  6 Rh 2.61-2.62
Rh (0.8755, 0.3748, 0.3748)  6 Rh 2.61-2.62
Rh (0.3748, 0.3748, 0.8755)  6 Rh 2.61-2.62
Rh (0.3748, 0.8755, 0.3748)  6 Rh 2.61-2.62
Sb (0.7500, 0.7500, 0.7500)  12 Rh 3.07, 4 Au 3.20

Calculated values
V	16.862	Å³/atom
raw formation energy	24	kJ/mol of atoms
electronic total energy	-5.888	eV/atom
ρ	11.99	g/cm³